1.
Density functional theory data (GGA-PBE) for crystalline MnAlAgPt at its relaxed geometry.

a = 4.437 Å, b = 4.437 Å, c = 4.437 Å
α = 60.00°, β = 60.00°, γ = 60.00°
Last column: magnetic moment on the atom in μB.
Fractional coordinates of all 4 atoms:
Al: 0.000 0.000 0.000  -0.02
Mn: 0.500 0.500 0.500  3.73
Ag: 0.250 0.250 0.250  0.02
Pt: 0.750 0.750 0.750  0.12

Calculated values
**N(E_F)**: 2.6 states/eV/cell
**DFT total energy**: -5.810 eV per atom
**Space group**: No. 216
**Crystal system**: cubic
**Energy of formation**: -0.359 eV/atom
**Magnetization**: 4.0 μB per formula unit

---

2.
Density functional theory data (GGA-PBE) for crystalline Mn2AlAg2S6 at its relaxed geometry.

a = 5.949 Å, b = 5.949 Å, c = 7.638 Å
α = 81.86°, β = 81.86°, γ = 120.25°
Last column: magnetic moment on the atom in μB.
Fractional coordinates of all 11 atoms:
S: 0.404 0.404 0.323  -0.04
Ag: 0.180 0.820 0.000  -0.01
Al: 0.000 0.000 0.500  0.02
S: 0.066 0.723 0.326  -0.04
Mn: 0.339 0.661 0.500  2.50
S: 0.934 0.277 0.674  -0.04
Mn: 0.661 0.339 0.500  2.50
S: 0.596 0.596 0.677  -0.04
Ag: 0.820 0.180 0.000  -0.01
S: 0.723 0.066 0.326  -0.04
S: 0.277 0.934 0.674  -0.04

Calculated values
**N(E_F)**: 4.3 states/eV/cell
**DFT total energy**: -5.301 eV per atom
**Space group**: No. 12
**Uncorrected formation energy**: -524 meV/atom
**Crystal system**: monoclinic
**Magnetization**: 5.0 μB per formula unit

---

3.
Density functional theory data (GGA-PBE) for crystalline MnAlAg2S4 at its relaxed geometry.

a = 5.655 Å, b = 5.655 Å, c = 6.746 Å
α = 114.79°, β = 114.78°, γ = 90.00°
Last column: magnetic moment on the atom in μB.
Fractional coordinates of all 8 atoms:
S: 0.650 0.609 0.726  -0.03
Al: 0.986 0.486 0.972  0.03
Ag: 0.486 0.986 0.972  -0.03
S: 0.075 0.117 0.726  -0.03
Mn: 0.736 0.736 0.472  3.76
S: 0.355 0.821 0.218  -0.03
Ag: 0.236 0.236 0.472  -0.03
S: 0.863 0.396 0.218  -0.03

Calculated values
**N(E_F)**: 3.4 states/eV/cell
**DFT total energy**: -4.916 eV per atom
**Space group**: No. 82
**Uncorrected formation energy**: -525 meV/atom
**Crystal system**: tetragonal
**Magnetization**: 4.0 μB per formula unit

---

Number 1: calculated volume 62 Å³ per cell. Number 2: calculated volume 224 Å³ per cell. Number 3: calculated volume 174 Å³ per cell.